# 1
Here is CdP2Pt after structural relaxation from Alexandria via LeMat-Bulk. Energies are from PBE.

Computed properties:
Magnetic moment: 0.0 μB/cell
Final energy: -35.9 eV/cell
V: 22.4 Å³/atom
DOS at the Fermi energy: 0.509 states/eV per atom

Lattice parameters (Å, degrees): 5.8543 5.8543 6.6765 64.00 64.00 90.00
With the nearest neighbours (Å) after each atom.
Fractional coordinates of all 8 atoms:
P (0.6719, 0.1250, 0.2500)  2 Pt 2.30
P (0.0781, 0.6250, 0.2500)  2 Pt 2.30
P (0.3750, 0.3281, 0.7500)  2 Pt 2.30
P (0.8750, 0.9219, 0.7500)  2 Pt 2.30
Pt (0.0000, 0.0000, 0.0000)  4 P 2.30
Pt (0.7500, 0.2500, 0.5000)  4 P 2.30
Cd (0.5000, 0.5000, 0.0000)  4 P 2.62
Cd (0.2500, 0.7500, 0.5000)  4 P 2.62

***

# 2
Here is Cd2PPt after structural relaxation from Alexandria via LeMat-Bulk. Energies are from PBE.

Computed properties:
Magnetic moment: 0.0 μB/cell
Final energy: -13.5 eV/cell
V: 19.1 Å³/atom
DOS at the Fermi energy: 0.346 states/eV per atom

Lattice parameters (Å, degrees): 3.3389 3.3389 6.8601 90.00 90.00 90.00
With the nearest neighbours (Å) after each atom.
Fractional coordinates of all 4 atoms:
Cd (0.0000, 0.0000, 0.9832)  1 P 2.83, 4 Cd 3.03, 4 Pt 3.12
Cd (0.5000, 0.5000, 0.2604)  1 Pt 2.92, 4 Cd 3.03, 4 P 3.18
P (0.0000, 0.0000, 0.5710)  4 Pt 2.49
Pt (0.5000, 0.5000, 0.6854)  4 P 2.49

***

# 3
Here is CdPPt after structural relaxation from Alexandria via LeMat-Bulk. Energies are from PBE.

Computed properties:
Magnetic moment: 0.0 μB/cell
Final energy: -12.9 eV/cell
V: 18.6 Å³/atom
DOS at the Fermi energy: 0.277 states/eV per atom

Lattice parameters (Å, degrees): 4.0482 4.0482 3.9363 90.00 90.00 120.00
With the nearest neighbours (Å) after each atom.
Fractional coordinates of all 3 atoms:
Cd (0.0000, 0.0000, 0.9999)  6 Pt 3.05-3.06, 6 P 3.06
P (0.6667, 0.3333, 0.4999)  3 Pt 2.34
Pt (0.3333, 0.6667, 0.5002)  3 P 2.34

***

Q: Which formula does entry 1 have?
A: CdP2Pt

***

Q: Among the records above, which one has the highest DOS at the Fermi energy?
A: CdP2Pt